No. 1
The following is a DFT calculation (PBE) of an optimized crystal structure of Al3Sb.

- magnetic moment (μB/atom) = 0.0000
- E_form (uncorrected) (eV per formula unit) = 0.7
- space group = I4/mmm
- crystal system = tetragonal

Cell lengths 11.1000, 11.1000, 11.1000 Å; angles 159.55, 159.55, 29.07 degrees
Last column: nearest neighbours and their distance in Å.
Positions (direct):
Al (0.0000, 0.5000, 0.5000)  4 Al 2.79, 4 Sb 3.04
Al (0.1568, 0.1568, 0.0000)  4 Al 2.81, 4 Sb 2.98
Al (0.2500, 0.7500, 0.5000)  8 Al 2.79-2.81
Al (0.5000, 0.0000, 0.5000)  4 Al 2.79, 4 Sb 3.04
Al (0.7500, 0.2500, 0.5000)  8 Al 2.79-2.81
Al (0.8432, 0.8432, 0.0000)  4 Al 2.81, 4 Sb 2.98
Sb (0.3922, 0.3922, 0.0000)  8 Al 2.98-3.04
Sb (0.6078, 0.6078, 0.0000)  8 Al 2.98-3.04

No. 2
The following is a DFT calculation (PBE) of an optimized crystal structure of Zr4AlZn2.

- magnetic moment (μB/atom) = 0.0000
- energy relative to the elements (eV/atom) = -0.109
- space group = I4/mmm
- crystal system = tetragonal

Cell lengths 7.4385, 7.4385, 7.4385 Å; angles 143.39, 143.39, 52.74 degrees
Last column: nearest neighbours and their distance in Å.
Positions (direct):
Zr (0.1226, 0.6226, 0.5000)  2 Al 2.85, 4 Zn 2.87-2.91
Zr (0.3774, 0.8774, 0.5000)  2 Al 2.85, 4 Zn 2.87-2.91
Zr (0.6226, 0.1226, 0.5000)  2 Al 2.85, 4 Zn 2.87-2.91
Zr (0.8774, 0.3774, 0.5000)  2 Al 2.85, 4 Zn 2.87-2.91
Al (0.0000, 0.0000, 0.0000)  8 Zr 2.85
Zn (0.2529, 0.2529, 0.0000)  8 Zr 2.87-2.91
Zn (0.7471, 0.7471, 0.0000)  8 Zr 2.87-2.91

No. 3
The following is a DFT calculation (PBE) of an optimized crystal structure of LuSc2Pb.

- magnetic moment (μB/atom) = 0.4887
- offset from the most stable computed form (eV/atom) = 0.0000
- energy relative to the elements (eV/atom) = -0.249
- space group = P4/mmm
- crystal system = tetragonal

Cell lengths 4.6342, 4.6342, 4.6434 Å; angles 90.00, 90.00, 90.00 degrees
Last column: nearest neighbours and their distance in Å.
Positions (direct):
Lu (0.0000, 0.0000, 0.0000)  4 Pb 3.28, 8 Sc 3.28
Sc (0.0000, 0.5000, 0.5000)  4 Sc 3.28, 4 Pb 3.28, 4 Lu 3.28
Sc (0.5000, 0.0000, 0.5000)  4 Sc 3.28, 4 Pb 3.28, 4 Lu 3.28
Pb (0.5000, 0.5000, 0.0000)  4 Lu 3.28, 8 Sc 3.28

No. 4
The following is a DFT calculation (PBE) of an optimized crystal structure of Ba2In4GaPb3.

- magnetic moment (μB/atom) = 0.0000
- energy relative to the elements (eV/atom) = -0.253
- space group = P-4m2
- crystal system = tetragonal

Cell lengths 5.0226, 5.0226, 13.1991 Å; angles 90.00, 90.00, 90.00 degrees
Last column: nearest neighbours and their distance in Å.
Positions (direct):
Ba (0.0000, 0.5000, 0.2406)  8 In 3.87-4.25, 6 Pb 3.87-4.05, 2 Ga 4.05
Ba (0.5000, 0.0000, 0.7594)  8 In 3.87-4.25, 6 Pb 3.87-4.05, 2 Ga 4.05
In (0.0000, 0.0000, 0.5000)  4 Pb 3.14
In (0.0000, 0.5000, 0.8752)  3 Pb 3.00-3.06, 2 Ga 3.00
In (0.5000, 0.0000, 0.1248)  3 Pb 3.00-3.06, 2 Ga 3.00
In (0.5000, 0.5000, 0.5000)  4 Pb 3.14
Ga (0.5000, 0.5000, 0.0000)  4 In 3.00
Pb (0.0000, 0.0000, 0.0000)  4 In 3.00
Pb (0.0000, 0.5000, 0.6433)  5 In 3.06-3.14
Pb (0.5000, 0.0000, 0.3567)  5 In 3.06-3.14

No. 5
The following is a DFT calculation (PBE) of an optimized crystal structure of SbIrSe4.

- magnetic moment (μB/atom) = 0.0000
- offset from the most stable computed form (eV/atom) = 0.0000
- E_form (uncorrected) (eV per formula unit) = -1.9
- space group = C2/m
- crystal system = monoclinic

Cell lengths 7.4450, 7.4450, 6.5912 Å; angles 114.47, 114.47, 29.60 degrees
Last column: nearest neighbours and their distance in Å.
Positions (direct):
Sb (0.0000, 0.0000, 0.0000)  6 Se 2.69-2.74
Ir (0.5000, 0.5000, 0.5000)  6 Se 2.51-2.53
Se (0.1037, 0.1037, 0.7444)  2 Ir 2.53, 1 Sb 2.69
Se (0.3844, 0.3844, 0.6965)  1 Ir 2.51, 2 Sb 2.74
Se (0.6156, 0.6156, 0.3035)  1 Ir 2.51, 2 Sb 2.74
Se (0.8963, 0.8963, 0.2556)  2 Ir 2.53, 1 Sb 2.69

No. 6
The following is a DFT calculation (PBE) of an optimized crystal structure of V2CoHPd.

- magnetic moment (μB/atom) = 0.0000
- offset from the most stable computed form (eV/atom) = 0.0787
- space group = P4/mmm
- crystal system = tetragonal

Cell lengths 3.7427, 3.7427, 3.8721 Å; angles 90.00, 90.00, 90.00 degrees
Last column: nearest neighbours and their distance in Å.
Positions (direct):
V (0.0000, 0.5000, 0.0000)  2 H 1.87
V (0.5000, 0.0000, 0.0000)  2 H 1.87
Co (0.0000, 0.0000, 0.5000)  4 Pd 2.65, 8 V 2.69
H (0.5000, 0.5000, 0.0000)  4 V 1.87, 2 Pd 1.94
Pd (0.5000, 0.5000, 0.5000)  2 H 1.94

No. 7
The following is a DFT calculation (PBE) of an optimized crystal structure of NpScCoRu.

- magnetic moment (μB/atom) = 0.6320
- energy relative to the elements (eV/atom) = -0.184
- space group = F-43m
- crystal system = cubic

Cell lengths 4.6044, 4.6044, 4.6044 Å; angles 60.00, 60.00, 60.00 degrees
Last column: nearest neighbours and their distance in Å.
Positions (direct):
Np (0.0000, 0.0000, 0.0000)  4 Co 2.82, 4 Ru 2.82
Sc (0.5000, 0.5000, 0.5000)  4 Co 2.82, 4 Ru 2.82
Co (0.7500, 0.7500, 0.7500)  4 Np 2.82, 4 Sc 2.82
Ru (0.2500, 0.2500, 0.2500)  4 Sc 2.82, 4 Np 2.82

No. 8
The following is a DFT calculation (PBE) of an optimized crystal structure of AcCeDyTh.

- magnetic moment (μB/atom) = 0.3509
- energy relative to the elements (eV/atom) = 0.244
- space group = F-43m
- crystal system = cubic

Cell lengths 5.7882, 5.7882, 5.7882 Å; angles 60.00, 60.00, 60.00 degrees
Last column: nearest neighbours and their distance in Å.
Positions (direct):
Ac (0.0000, 0.0000, 0.0000)  4 Dy 3.54, 4 Ce 3.54
Ce (0.2500, 0.2500, 0.2500)  4 Th 3.54, 4 Ac 3.54
Dy (0.7500, 0.7500, 0.7500)  4 Ac 3.54, 4 Th 3.54
Th (0.5000, 0.5000, 0.5000)  4 Dy 3.54, 4 Ce 3.54

No. 9
The following is a DFT calculation (PBE) of an optimized crystal structure of P3W.

- magnetic moment (μB/atom) = 0.0000
- offset from the most stable computed form (eV/atom) = 0.2602
- energy relative to the elements (eV/atom) = 0.110
- space group = P-6m2
- crystal system = hexagonal

Cell lengths 3.2210, 3.2210, 6.6707 Å; angles 90.00, 90.00, 120.00 degrees
Last column: nearest neighbours and their distance in Å.
Positions (direct):
P (0.0000, 0.0000, 0.0000)  6 P 2.51
P (0.3333, 0.6667, 0.2534)  3 W 2.48, 3 P 2.51
P (0.3333, 0.6667, 0.7466)  3 W 2.48, 3 P 2.51
W (0.0000, 0.0000, 0.5000)  6 P 2.48

No. 10
The following is a DFT calculation (PBE) of an optimized crystal structure of Ba3Li2ZnAu6.

- magnetic moment (μB/atom) = 0.0000
- energy relative to the elements (eV/atom) = -0.472
- space group = P-3m1
- crystal system = trigonal

Cell lengths 6.7232, 6.7232, 8.5847 Å; angles 90.00, 90.00, 120.00 degrees
Last column: nearest neighbours and their distance in Å.
Positions (direct):
Ba (0.0000, 0.0000, 0.0000)  6 Au 3.37
Ba (0.3333, 0.6667, 0.6421)  9 Au 3.39-3.40, 1 Li 3.73
Ba (0.6667, 0.3333, 0.3579)  9 Au 3.39-3.40, 1 Li 3.73
Li (0.3333, 0.6667, 0.0770)  3 Au 2.62
Li (0.6667, 0.3333, 0.9230)  3 Au 2.62
Zn (0.0000, 0.0000, 0.5000)  6 Au 2.71
Au (0.1828, 0.3655, 0.3042)  1 Li 2.62, 1 Zn 2.71
Au (0.1828, 0.8172, 0.3042)  1 Li 2.62, 1 Zn 2.71
Au (0.3655, 0.1828, 0.6958)  1 Li 2.62, 1 Zn 2.71
Au (0.6345, 0.8172, 0.3042)  1 Li 2.62, 1 Zn 2.71
Au (0.8172, 0.1828, 0.6958)  1 Li 2.62, 1 Zn 2.71
Au (0.8172, 0.6345, 0.6958)  1 Li 2.62, 1 Zn 2.71